DFT (PBE) results for crystalline PmSm2In6 at its relaxed geometry.

a = 8.6518 Å, b = 8.6518 Å, c = 3.6728 Å
α = 90.00°, β = 90.00°, γ = 120.00°
Space group P6/mmm (No. 191)
Inequivalent atoms, fractional coordinates:
Pm  0.0000  0.0000  0.0000 x1
Sm  0.3333  0.6667  0.0000 x2
In  0.0000  0.3336  0.5000 x6

crystal system: hexagonal
final energy: -3.856 eV per atom
calculated formation energy: -454 meV per atom
mass density: 7.9 g/cm3